Entry 1:
The following is a PBE calculation of a geometry-optimized Na2CdAs structure, from the Alexandria database. Values from VASP.

## Properties
**Polymorph energy (0 for the lowest one)**: 16.7 meV/atom
**Crystal system**: tetragonal
**DFT formation energy**: -0.182 eV per atom

Quantum ESPRESSO input file:
```
&SYSTEM
  ibrav = 0, nat = 4, ntyp = 3
/
ATOMIC_SPECIES
Na 22.99 Na.upf
As 74.92 As.upf
Cd 112.41 Cd.upf
ATOMIC_POSITIONS angstrom
Na 0.000 0.000 2.208
As 2.326 0.000 0.000
Na 0.000 2.208 0.000
Cd 2.326 2.208 2.208
CELL_PARAMETERS angstrom
4.652 0.000 0.000
0.000 4.416 0.000
0.000 0.000 4.416
```

=====

Entry 2:
The following is a PBE calculation of a geometry-optimized Li4GaPd4 structure, from the Alexandria database. Values from VASP.

## Properties
**Crystal system**: tetragonal
**DFT formation energy**: -0.474 eV per atom

Quantum ESPRESSO input file:
```
&SYSTEM
  ibrav = 0, nat = 9, ntyp = 3
/
ATOMIC_SPECIES
Li 6.94 Li.upf
Ga 69.72 Ga.upf
Pd 106.42 Pd.upf
ATOMIC_POSITIONS angstrom
Li 4.078 5.583 1.935
Ga 0.000 0.000 0.000
Li 4.078 0.001 3.649
Li 2.039 1.935 0.001
Li 6.117 3.649 5.583
Pd 6.117 3.800 1.784
Pd 4.078 1.784 1.783
Pd 4.078 3.800 3.800
Pd 2.039 1.783 3.800
CELL_PARAMETERS angstrom
4.078 0.000 0.000
2.039 5.583 0.000
2.039 0.000 5.583
```

=====

Entry 3:
The following is a PBE calculation of a geometry-optimized Ac12Si6Sb structure, from the Alexandria database. Values from VASP.

## Properties
**Uncorrected formation energy**: -0.48 eV per atom
**Crystal system**: cubic

Quantum ESPRESSO input file:
```
&SYSTEM
  ibrav = 0, nat = 19, ntyp = 3
/
ATOMIC_SPECIES
Si 28.09 Si.upf
Ac 227.00 Ac.upf
Sb 121.76 Sb.upf
ATOMIC_POSITIONS angstrom
Si -4.553 -2.213 -2.361
Ac -2.437 0.826 6.279
Ac -1.292 -4.945 6.079
Ac -1.434 -1.594 3.210
Ac -3.728 -4.894 2.863
Ac -6.239 0.382 -2.643
Ac -0.468 -6.749 0.536
Si -0.626 -4.735 2.897
Ac -7.063 2.185 2.901
Si -2.979 -2.350 5.797
Ac -2.122 -3.196 -0.426
Ac -6.097 -2.970 0.226
Ac -5.409 -1.367 3.863
Sb 0.000 0.000 0.000
Ac -3.803 0.331 0.574
Si -6.906 0.171 0.540
Ac -5.094 -5.390 -2.843
Si -3.993 1.390 3.649
Si -3.538 -5.954 -0.213
CELL_PARAMETERS angstrom
-7.881 3.724 -3.658
0.531 -9.149 -2.317
-0.182 0.861 9.412
```

=====

Entry 4:
The following is a PBE calculation of a geometry-optimized Ba4U3HgO12 structure, from the Alexandria database. Values from VASP.

## Properties
**Uncorrected formation energy**: -2.83 eV per atom
**Crystal system**: cubic

Quantum ESPRESSO input file:
```
&SYSTEM
  ibrav = 0, nat = 20, ntyp = 4
/
ATOMIC_SPECIES
O 16.00 O.upf
U 238.03 U.upf
Ba 137.33 Ba.upf
Hg 200.59 Hg.upf
ATOMIC_POSITIONS angstrom
O -4.186 -2.267 1.712
U -4.459 -0.250 0.725
O 0.816 -3.020 3.976
O -1.683 -4.160 2.335
O 0.307 1.160 2.289
Ba 2.772 -0.877 2.627
O -6.371 -0.357 1.036
U 0.538 2.031 4.007
O 0.769 2.902 5.726
Hg 0.000 0.000 0.000
Ba -2.234 2.909 1.380
Ba -2.225 -3.158 -0.655
O 0.312 -2.305 1.126
O -1.691 1.906 4.370
Ba -1.687 -1.127 3.352
O 0.781 -5.766 2.818
O -4.190 0.766 2.729
O -2.547 -0.143 0.414
O 0.812 0.013 4.993
U 0.547 -4.036 1.972
CELL_PARAMETERS angstrom
-4.451 -6.316 -1.310
5.544 -1.755 5.254
-4.468 5.817 2.761
```

=====

Entry 5:
The following is a PBE calculation of a geometry-optimized La5SmCo3 structure, from the Alexandria database. Values from VASP.

## Properties
**Crystal system**: monoclinic
**DFT formation energy**: -0.099 eV per atom

Quantum ESPRESSO input file:
```
&SYSTEM
  ibrav = 0, nat = 18, ntyp = 3
/
ATOMIC_SPECIES
Co 58.93 Co.upf
Sm 150.36 Sm.upf
La 138.91 La.upf
ATOMIC_POSITIONS angstrom
Co -1.248 6.432 9.233
Co 2.552 7.512 15.892
Sm 1.151 6.906 7.797
La 3.522 6.375 13.622
Co 3.789 1.087 6.676
La 2.435 0.889 4.288
Co 1.077 2.896 2.765
Co 0.000 0.000 0.000
La -2.624 6.254 6.863
La 0.161 6.620 11.562
Sm 2.478 3.502 10.859
La -2.593 8.843 13.440
La 6.221 1.565 5.216
La 0.107 4.033 5.034
La 3.468 3.788 7.094
Co 4.876 3.976 9.423
La -0.936 3.731 8.849
La 1.193 9.519 14.369
CELL_PARAMETERS angstrom
7.189 0.423 2.944
-3.949 8.235 5.304
0.389 1.750 10.408
```

=====

Entry 6:
The following is a PBE calculation of a geometry-optimized NbIn2RhN structure, from the Alexandria database. Values from VASP.

## Properties
**Uncorrected formation energy**: 0.80 eV per atom
**Crystal system**: tetragonal

Quantum ESPRESSO input file:
```
&SYSTEM
  ibrav = 0, nat = 5, ntyp = 4
/
ATOMIC_SPECIES
Nb 92.91 Nb.upf
In 114.82 In.upf
N 14.01 N.upf
Rh 102.91 Rh.upf
ATOMIC_POSITIONS angstrom
Nb 0.000 0.000 0.000
In -2.227 -0.535 1.522
In 1.310 -2.114 1.173
N -0.661 -1.176 -1.381
Rh -1.578 -3.825 1.314
CELL_PARAMETERS angstrom
-4.454 -1.070 3.044
-1.322 -2.352 -2.762
2.620 -4.228 2.346
```

=====

Entry 7:
The following is a PBE calculation of a geometry-optimized LiTiInSn structure, from the Alexandria database. Values from VASP.

## Properties
**Polymorph energy (0 for the lowest one)**: 0.0 meV/atom
**Crystal system**: tetragonal
**DFT formation energy**: -0.218 eV per atom

Quantum ESPRESSO input file:
```
&SYSTEM
  ibrav = 0, nat = 4, ntyp = 4
/
ATOMIC_SPECIES
Li 6.94 Li.upf
Sn 118.71 Sn.upf
In 114.82 In.upf
Ti 47.87 Ti.upf
ATOMIC_POSITIONS angstrom
Li 0.000 0.000 4.711
Sn 1.554 1.554 2.625
In 1.554 1.554 6.814
Ti 0.000 0.000 0.577
CELL_PARAMETERS angstrom
3.107 0.000 0.000
0.000 3.107 0.000
0.000 0.000 8.251
```

=====

Entry 8:
The following is a PBE calculation of a geometry-optimized RbYGe2I8 structure, from the Alexandria database. Values from VASP.

## Properties
**Uncorrected formation energy**: -0.81 eV per atom
**Crystal system**: triclinic

Quantum ESPRESSO input file:
```
&SYSTEM
  ibrav = 0, nat = 12, ntyp = 4
/
ATOMIC_SPECIES
I 126.90 I.upf
Ge 72.64 Ge.upf
Rb 85.47 Rb.upf
Y 88.91 Y.upf
ATOMIC_POSITIONS angstrom
I 0.374 -1.301 7.466
I 8.971 1.418 6.120
Ge 1.454 -3.369 5.589
I 8.237 -2.716 4.764
Rb 4.730 1.541 1.773
Ge 7.158 -0.647 6.641
I 3.576 -3.974 7.078
I 5.036 -0.043 5.152
I 5.936 0.745 9.263
Y 0.000 0.000 0.000
I 2.675 -4.762 2.968
I -0.360 -5.435 6.110
CELL_PARAMETERS angstrom
-2.459 -0.145 7.472
1.611 -6.952 1.213
9.459 3.081 3.545
```

=====

Entry 9:
The following is a PBE calculation of a geometry-optimized Rb2NbZnO4 structure, from the Alexandria database. Values from VASP.

## Properties
**Uncorrected formation energy**: -1.79 eV per atom
**Crystal system**: tetragonal

Quantum ESPRESSO input file:
```
&SYSTEM
  ibrav = 0, nat = 8, ntyp = 4
/
ATOMIC_SPECIES
Zn 65.41 Zn.upf
Rb 85.47 Rb.upf
O 16.00 O.upf
Nb 92.91 Nb.upf
ATOMIC_POSITIONS angstrom
Zn 0.216 -0.137 3.746
Rb 0.000 0.000 0.000
O 3.651 2.197 0.616
Nb -2.844 1.804 2.764
Rb 0.216 3.485 1.382
O -1.806 0.254 3.138
O 1.431 1.088 2.469
O -2.413 3.156 4.033
CELL_PARAMETERS angstrom
6.121 -0.261 -0.400
-2.844 5.426 0.400
-2.844 -1.817 5.128
```

=====

Entry 10:
The following is a PBE calculation of a geometry-optimized LiHfSb structure, from the Alexandria database. Values from VASP.

## Properties
**Uncorrected formation energy**: -0.15 eV per atom
**Polymorph energy (0 for the lowest one)**: 76.1 meV/atom
**Crystal system**: monoclinic

Quantum ESPRESSO input file:
```
&SYSTEM
  ibrav = 0, nat = 6, ntyp = 3
/
ATOMIC_SPECIES
Sb 121.76 Sb.upf
Hf 178.49 Hf.upf
Li 6.94 Li.upf
ATOMIC_POSITIONS angstrom
Sb 4.098 2.825 6.709
Hf 2.049 1.253 1.031
Li 4.098 2.622 3.784
Sb 4.098 0.179 2.732
Hf 6.146 1.750 8.410
Li 4.098 0.382 5.657
CELL_PARAMETERS angstrom
4.098 0.000 0.000
2.049 3.543 -0.238
2.049 -0.540 9.679
```

=====

Entry 11:
The following is a PBE calculation of a geometry-optimized PrHo2CdAu4 structure, from the Alexandria database. Values from VASP.

## Properties
**Crystal system**: trigonal
**DFT formation energy**: -0.722 eV per atom

Quantum ESPRESSO input file:
```
&SYSTEM
  ibrav = 0, nat = 8, ntyp = 4
/
ATOMIC_SPECIES
Ho 164.93 Ho.upf
Au 196.97 Au.upf
Pr 140.91 Pr.upf
Cd 112.41 Cd.upf
ATOMIC_POSITIONS angstrom
Ho 7.517 4.340 6.120
Ho 2.506 1.447 2.401
Au 2.506 1.447 5.433
Pr 0.000 0.000 0.000
Cd 5.012 2.893 4.260
Au 5.012 2.893 1.256
Au 7.517 4.340 3.088
Au 5.012 2.893 7.264
CELL_PARAMETERS angstrom
5.012 0.000 0.000
2.506 4.340 0.000
2.506 1.447 8.521
```

=====

no.,final energy (eV per cell)
1,-8.9
2,-35.7
3,-95.1
4,-157.9
5,-103.1
6,-27.2
7,-17.4
8,-38.8
9,-47.4
10,-32.9
11,-33.7